# 1
# PBE NaAlO, relaxed
# * energy relative to the lowest polymorph listed for this composition: 31 meV per atom
# * magnetization: 0.000 μB per atom
# * raw formation energy: -1.44 eV per atom
# * symmetry: I2_12_12_1, No. 24
data_NaAlO
_chemical_formula_sum 'Na4 Al4 O4'
_cell_length_a 7.3874
_cell_length_b 5.3164
_cell_length_c 4.8280
_cell_angle_alpha 90.00
_cell_angle_beta 90.00
_cell_angle_gamma 90.00
_space_group_name_H-M_alt 'P 1'
_space_group_IT_number 1
_space_group_name_Hall 'P 1'
loop_
_atom_site_label
_atom_site_type_symbol
_atom_site_fract_x
_atom_site_fract_y
_atom_site_fract_z
Na1 Na 0.3863 0.0000 0.2500
Na2 Na 0.1137 0.0000 0.7500
Na3 Na 0.6137 0.5000 0.2500
Na4 Na 0.8863 0.5000 0.7500
Al1 Al 0.8531 0.0000 0.2500
Al2 Al 0.6469 0.0000 0.7500
Al3 Al 0.1469 0.5000 0.2500
Al4 Al 0.3531 0.5000 0.7500
O1 O 0.0000 0.2500 0.1297
O2 O 0.0000 0.7500 0.3703
O3 O 0.5000 0.2500 0.8703
O4 O 0.5000 0.7500 0.6297

***

# 2
# PBE PmNd5Dy6, relaxed
# * energy relative to the lowest polymorph listed for this composition: 4 meV per atom
# * magnetization: 0.000 μB per atom
# * symmetry: Immm, No. 71
data_PmNd5Dy6
_chemical_formula_sum 'Pm1 Nd5 Dy6'
_cell_length_a 5.1234
_cell_length_b 10.1381
_cell_length_c 9.5435
_cell_angle_alpha 122.08
_cell_angle_beta 105.57
_cell_angle_gamma 90.00
_space_group_name_H-M_alt 'P 1'
_space_group_IT_number 1
_space_group_name_Hall 'P 1'
loop_
_atom_site_label
_atom_site_type_symbol
_atom_site_fract_x
_atom_site_fract_y
_atom_site_fract_z
Dy1 Dy 0.8334 0.5836 0.6668
Dy2 Dy 0.8334 0.0832 0.6668
Dy3 Dy 0.5000 0.7503 0.0000
Dy4 Dy 0.5000 0.2497 0.0000
Dy5 Dy 0.1666 0.9168 0.3332
Dy6 Dy 0.1666 0.4164 0.3332
Nd1 Nd 0.6663 0.1663 0.3327
Nd2 Nd 0.3333 0.3333 0.6666
Nd3 Nd 0.0000 0.5000 0.0000
Nd4 Nd 0.6667 0.6667 0.3334
Nd5 Nd 0.3337 0.8337 0.6673
Pm1 Pm 0.0000 0.0000 0.0000

***

# 3
# PBE Sm3As2Cl, relaxed
# * magnetization: 0.000 μB per atom
# * raw formation energy: -1.31 eV per atom
# * symmetry: Cmcm, No. 63
data_Sm3As2Cl
_chemical_formula_sum 'Sm6 As4 Cl2'
_cell_length_a 4.2512
_cell_length_b 7.1913
_cell_length_c 10.7853
_cell_angle_alpha 90.00
_cell_angle_beta 90.00
_cell_angle_gamma 107.19
_space_group_name_H-M_alt 'P 1'
_space_group_IT_number 1
_space_group_name_Hall 'P 1'
loop_
_atom_site_label
_atom_site_type_symbol
_atom_site_fract_x
_atom_site_fract_y
_atom_site_fract_z
Sm1 Sm 0.6490 0.2980 0.9434
Sm2 Sm 0.8995 0.7990 0.7500
Sm3 Sm 0.6490 0.2980 0.5566
Sm4 Sm 0.1005 0.2010 0.2500
Sm5 Sm 0.3510 0.7020 0.0566
Sm6 Sm 0.3510 0.7020 0.4434
As1 As 0.0000 0.0000 0.0000
As2 As 0.0000 0.0000 0.5000
As3 As 0.7489 0.4978 0.2500
As4 As 0.2511 0.5022 0.7500
Cl1 Cl 0.4734 0.9468 0.2500
Cl2 Cl 0.5266 0.0532 0.7500